(1)
Density functional theory data (PBE) for crystalline BePtO at its relaxed geometry.

The structure in POSCAR format:
```
BePtO
1.0
-0.1425 -0.5628 2.6610
2.2317 -0.6601 -1.4129
3.9286 8.6158 2.1625
O Be Pt
2 2 2
Cartesian
0.7279 -0.2674 2.1338
4.5860 6.3752 2.4823
1.3448 -0.6915 0.6832
5.1815 5.9004 1.0208
1.6048 1.7104 2.5933
4.1605 3.7734 0.4147
```

Output
energy: -19.50 eV per formula unit
space-group type: Cm (8)
ρ: 11.7 g cm⁻³

---

(2)
Density functional theory data (PBE) for crystalline Hg2Pd5Au5 at its relaxed geometry.

The structure in POSCAR format:
```
Hg2Pd5Au5
1.0
-1.0645 -0.7549 3.8367
7.4455 -2.7121 3.6724
-0.5167 5.7210 3.1227
Au Pd Hg
5 5 2
Cartesian
5.0129 1.0682 5.8816
4.4664 -1.3328 7.3979
1.3980 3.5868 3.2339
0.0000 0.0000 0.0000
0.8515 1.1858 4.7502
6.3905 0.6117 8.3143
4.4111 2.7450 8.1849
3.4644 1.5044 3.3975
-0.5262 1.6422 2.3175
1.4533 -0.4911 2.4469
2.8990 -0.8249 4.9226
2.9654 3.0788 5.7092
```

Output
energy: -44.03 eV per formula unit
formation energy: -104 kJ/mol of formula units
space-group type: C2/m (12)
ρ: 15.3 g cm⁻³

---

(3)
Density functional theory data (PBE) for crystalline ZnMoAs2Br at its relaxed geometry.

The structure in POSCAR format:
```
ZnMoAs2Br
1.0
-3.1230 3.0878 1.8314
-3.1827 -3.5044 0.4812
1.8353 -1.0045 4.8234
As Zn Br Mo
2 1 1 1
Cartesian
-1.5615 1.5439 0.9157
-1.5914 -1.7522 0.2406
0.0000 0.0000 0.0000
0.9176 -0.5023 2.4117
-2.2352 -0.7105 3.5680
```

Output
energy: -17.96 eV per formula unit
space-group type: P4/mmm (123)
excess energy over the best structure of this formula in the dataset: 648.7 meV per atom
ρ: 5.5 g cm⁻³